(1)
The following is a PBE calculation of a relaxed structure of KY4Co, from Alexandria.

Computed properties:
Crystal system ... cubic
Formation enthalpy at 0 K ... 936.9 meV per atom
Fermi-level density of states ... 12.0 states/eV/f.u.

a = 9.313 Å, b = 9.313 Å, c = 9.313 Å
α = 90.00°, β = 90.00°, γ = 90.00°
Space group F-43m (No. 216)
Inequivalent atoms, fractional coordinates:
K: 0.000 0.000 0.000 x4
Y: 0.123 0.123 0.377 x16
Co: 0.250 0.250 0.750 x4



(2)
The following is a PBE calculation of a relaxed structure of BaAgW3, from Alexandria.

Computed properties:
Crystal system ... cubic
E above lowest polymorph ... 5.73 eV per formula unit
Formation enthalpy at 0 K ... 3799.2 meV per atom
Fermi-level density of states ... 7.9 states/eV/f.u.

a = 4.990 Å, b = 4.990 Å, c = 4.990 Å
α = 90.00°, β = 90.00°, γ = 90.00°
Space group Pm-3m (No. 221)
Inequivalent atoms, fractional coordinates:
Ba: 0.000 0.000 0.000 x1
Ag: 0.500 0.500 0.500 x1
W: 0.000 0.000 0.500 x3



(3)
The following is a PBE calculation of a relaxed structure of ZrCdRu, from Alexandria.

Computed properties:
Crystal system ... cubic
E above lowest polymorph ... 2.38 eV per formula unit
Formation enthalpy at 0 K ... 500.0 meV per atom
Fermi-level density of states ... 0.6 states/eV/f.u.

a = 6.445 Å, b = 6.445 Å, c = 6.445 Å
α = 90.00°, β = 90.00°, γ = 90.00°
Space group F-43m (No. 216)
Inequivalent atoms, fractional coordinates:
Zr: 0.000 0.000 0.000 x4
Cd: 0.250 0.250 0.250 x4
Ru: 0.250 0.250 0.750 x4



(4)
The following is a PBE calculation of a relaxed structure of CaCo2Pt2, from Alexandria.

Computed properties:
Crystal system ... tetragonal
E above lowest polymorph ... 0.00 eV per formula unit
Formation enthalpy at 0 K ... -246.5 meV per atom
Fermi-level density of states ... 5.3 states/eV/f.u.

a = 7.530 Å, b = 7.530 Å, c = 2.775 Å
α = 90.00°, β = 90.00°, γ = 90.00°
Space group P4/mbm (No. 127)
Inequivalent atoms, fractional coordinates:
Ca: 0.000 0.000 0.000 x2
Co: 0.112 0.388 0.000 x4
Pt: 0.182 0.682 0.500 x4



(5)
The following is a PBE calculation of a relaxed structure of BaScTc2As, from Alexandria.

Computed properties:
Crystal system ... tetragonal
Formation enthalpy at 0 K ... 2155.4 meV per atom
Fermi-level density of states ... 6.2 states/eV/f.u.

a = 5.074 Å, b = 5.074 Å, c = 5.644 Å
α = 90.00°, β = 90.00°, γ = 90.00°
Space group P4/mmm (No. 123)
Inequivalent atoms, fractional coordinates:
Ba: 0.000 0.000 0.000 x1
Sc: 0.500 0.500 0.500 x1
Tc: 0.000 0.500 0.000 x2
As: 0.000 0.000 0.500 x1



(6)
The following is a PBE calculation of a relaxed structure of SbIrSeN2, from Alexandria.

Computed properties:
Crystal system ... tetragonal
E above lowest polymorph ... 4.47 eV per formula unit
E_form (uncorrected) ... 8.84 eV/f.u.
Fermi-level density of states ... 4.2 states/eV/f.u.

a = 3.898 Å, b = 3.898 Å, c = 5.936 Å
α = 90.00°, β = 90.00°, γ = 90.00°
Space group P4/mmm (No. 123)
Inequivalent atoms, fractional coordinates:
Sb: 0.000 0.000 0.000 x1
Ir: 0.500 0.500 0.500 x1
Se: 0.000 0.000 0.500 x1
N: 0.000 0.500 0.000 x2



(7)
The following is a PBE calculation of a relaxed structure of SrZrAl, from Alexandria.

Computed properties:
Crystal system ... cubic
E above lowest polymorph ... 3.47 eV per formula unit
Formation enthalpy at 0 K ... 1221.2 meV per atom
Fermi-level density of states ... 4.8 states/eV/f.u.

a = 7.228 Å, b = 7.228 Å, c = 7.228 Å
α = 90.00°, β = 90.00°, γ = 90.00°
Space group F-43m (No. 216)
Inequivalent atoms, fractional coordinates:
Sr: 0.000 0.000 0.000 x4
Zr: 0.250 0.250 0.250 x4
Al: 0.250 0.250 0.750 x4



(8)
The following is a PBE calculation of a relaxed structure of PrPuBiAu, from Alexandria.

Computed properties:
Crystal system ... cubic
Formation enthalpy at 0 K ... -535.8 meV per atom
Fermi-level density of states ... 11.3 states/eV/f.u.

a = 7.664 Å, b = 7.664 Å, c = 7.664 Å
α = 90.00°, β = 90.00°, γ = 90.00°
Space group F-43m (No. 216)
Inequivalent atoms, fractional coordinates:
Pr: 0.000 0.000 0.000 x4
Pu: 0.000 0.000 0.500 x4
Bi: 0.250 0.250 0.250 x4
Au: 0.250 0.250 0.750 x4